[1]
The following is a DFT calculation (PBE) of a relaxed YMnBr2 crystal.

Cell: 5.0463 5.0463 5.0463 Å, 60.00 60.00 60.00°
With the nearest neighbours (Å) after each atom.
Fractional coordinates of all 4 atoms:
Y1 0.0000 0.0000 0.0000  8 Br 3.09
Mn1 0.5000 0.5000 0.5000  8 Br 3.09
Br1 0.2500 0.2500 0.2500  4 Mn 3.09, 4 Y 3.09
Br2 0.7500 0.7500 0.7500  4 Y 3.09, 4 Mn 3.09

Summary:
**Magnetic moment**: 4.0 Bohr magnetons per cell
**Total DFT energy (no corrections)**: -20.435 eV per cell
**DOS(E_F)**: 1.382 states/eV per cell
**Calculated volume**: 22.7 Å³/atom
**ΔE_f (raw)**: -364 meV/atom

=====

[2]
The following is a DFT calculation (PBE) of a relaxed YMnBr crystal.

Cell: 3.8131 3.8131 12.3030 Å, 99.09 99.09 59.94°
With the nearest neighbours (Å) after each atom.
Fractional coordinates of all 6 atoms:
Y1 0.0590 0.0590 0.1746  3 Br 2.93, 6 Mn 2.99-3.11
Y2 0.9410 0.9410 0.8254  3 Br 2.93, 6 Mn 2.99-3.11
Mn1 0.3358 0.3358 0.0068  3 Mn 2.21
Mn2 0.6642 0.6642 0.9932  3 Mn 2.21
Br1 0.2197 0.2197 0.6652  3 Y 2.93
Br2 0.7803 0.7803 0.3348  3 Y 2.93

Summary:
**Magnetic moment**: 0.0 Bohr magnetons per cell
**Total DFT energy (no corrections)**: -40.036 eV per cell
**DOS(E_F)**: 2.370 states/eV per cell
**Calculated volume**: 25.4 Å³/atom
**ΔE_f (raw)**: -904 meV/atom

=====

[3]
The following is a DFT calculation (PBE) of a relaxed YMnBr2 crystal.

Cell: 9.8706 9.8706 9.8706 Å, 151.65 151.65 40.52°
With the nearest neighbours (Å) after each atom.
Fractional coordinates of all 8 atoms:
Y1 0.0000 0.0000 0.0000  4 Br 2.89
Y2 0.7500 0.2500 0.5000  4 Br 2.89
Mn1 0.2500 0.7500 0.5000  4 Br 2.87
Mn2 0.5000 0.5000 0.0000  4 Br 2.87
Br1 0.1296 0.6250 0.0046  2 Mn 2.87, 2 Y 2.89
Br2 0.3750 0.3796 0.5046  2 Mn 2.87, 2 Y 2.89
Br3 0.6204 0.1250 0.9954  2 Mn 2.87, 2 Y 2.89
Br4 0.8750 0.8704 0.4954  2 Mn 2.87, 2 Y 2.89

Summary:
**Magnetic moment**: 7.6 Bohr magnetons per cell
**Total DFT energy (no corrections)**: -40.897 eV per cell
**DOS(E_F)**: 2.516 states/eV per cell
**Calculated volume**: 27.0 Å³/atom
**ΔE_f (raw)**: -367 meV/atom

=====

[4]
The following is a DFT calculation (PBE) of a relaxed YMnBr2 crystal.

Cell: 3.7197 3.6431 8.9186 Å, 90.00 101.82 90.00°
With the nearest neighbours (Å) after each atom.
Fractional coordinates of all 4 atoms:
Y1 0.0000 0.0000 0.0000  3 Br 2.80-3.03
Mn1 0.6038 0.5000 0.2100  4 Br 2.86-2.87, 4 Y 3.18-3.19
Br1 0.1680 0.0000 0.3469  4 Mn 2.86-2.87, 1 Y 3.03
Br2 0.8802 0.5000 0.7560  2 Y 2.80

Summary:
**Magnetic moment**: 4.0 Bohr magnetons per cell
**Total DFT energy (no corrections)**: -21.853 eV per cell
**DOS(E_F)**: 2.409 states/eV per cell
**Calculated volume**: 29.6 Å³/atom
**ΔE_f (raw)**: -718 meV/atom

=====

[5]
The following is a DFT calculation (PBE) of a relaxed YMnBr2 crystal.

Cell: 3.7034 4.7619 5.9813 Å, 90.00 91.59 90.00°
With the nearest neighbours (Å) after each atom.
Fractional coordinates of all 4 atoms:
Y1 0.0000 0.0000 0.0000  4 Br 2.94
Mn1 0.5000 0.0000 0.5000  4 Br 2.96
Br1 0.2461 0.5000 0.2482  2 Y 2.94, 2 Mn 2.96
Br2 0.7539 0.5000 0.7518  2 Y 2.94, 2 Mn 2.96

Summary:
**Magnetic moment**: 4.4 Bohr magnetons per cell
**Total DFT energy (no corrections)**: -20.511 eV per cell
**DOS(E_F)**: 2.023 states/eV per cell
**Calculated volume**: 26.4 Å³/atom
**ΔE_f (raw)**: -383 meV/atom

=====

[6]
The following is a DFT calculation (PBE) of a relaxed YMnBr2 crystal.

Cell: 4.7855 4.7855 3.8425 Å, 90.00 90.00 90.00°
With the nearest neighbours (Å) after each atom.
Fractional coordinates of all 4 atoms:
Y1 0.0000 0.0000 0.0000  8 Br 3.07, 4 Mn 3.38
Mn1 0.5000 0.5000 0.0000  8 Br 3.07, 4 Y 3.38
Br1 0.0000 0.5000 0.5000  4 Mn 3.07, 4 Y 3.07, 4 Br 3.38
Br2 0.5000 0.0000 0.5000  4 Mn 3.07, 4 Y 3.07, 4 Br 3.38

Summary:
**Magnetic moment**: 3.7 Bohr magnetons per cell
**Total DFT energy (no corrections)**: -20.354 eV per cell
**DOS(E_F)**: 1.831 states/eV per cell
**Calculated volume**: 22.0 Å³/atom
**ΔE_f (raw)**: -344 meV/atom

=====

[7]
The following is a DFT calculation (PBE) of a relaxed YMnBr2 crystal.

Cell: 5.7811 5.7811 3.6867 Å, 107.26 107.26 107.58°
With the nearest neighbours (Å) after each atom.
Fractional coordinates of all 4 atoms:
Y1 0.0000 0.0000 0.0000  4 Br 2.89
Mn1 0.5000 0.5000 0.0000  4 Br 2.89
Br1 0.0000 0.5000 0.0000  2 Mn 2.89, 2 Y 2.89
Br2 0.5000 0.0000 0.0000  2 Mn 2.89, 2 Y 2.89

Summary:
**Magnetic moment**: 3.9 Bohr magnetons per cell
**Total DFT energy (no corrections)**: -20.584 eV per cell
**DOS(E_F)**: 2.421 states/eV per cell
**Calculated volume**: 25.4 Å³/atom
**ΔE_f (raw)**: -401 meV/atom

=====

[8]
The following is a DFT calculation (PBE) of a relaxed YMnBr2 crystal.

Cell: 10.6041 10.6041 10.6041 Å, 19.67 19.67 19.67°
With the nearest neighbours (Å) after each atom.
Fractional coordinates of all 4 atoms:
Y1 0.0000 0.0000 0.0000  6 Br 2.89
Mn1 0.5000 0.5000 0.5000  6 Mn 3.62, 6 Br 3.83
Br1 0.2694 0.2694 0.2694  3 Y 2.89
Br2 0.7306 0.7306 0.7306  3 Y 2.89

Summary:
**Magnetic moment**: 4.5 Bohr magnetons per cell
**Total DFT energy (no corrections)**: -20.902 eV per cell
**DOS(E_F)**: 2.366 states/eV per cell
**Calculated volume**: 29.5 Å³/atom
**ΔE_f (raw)**: -481 meV/atom

=====

[9]
The following is a DFT calculation (PBE) of a relaxed Y3MnBr crystal.

Cell: 5.2680 5.2680 5.2680 Å, 90.00 90.00 90.00°
With the nearest neighbours (Å) after each atom.
Fractional coordinates of all 5 atoms:
Y1 0.0000 0.0000 0.5000  2 Mn 2.63
Y2 0.0000 0.5000 0.0000  2 Mn 2.63
Y3 0.5000 0.0000 0.0000  2 Mn 2.63
Mn1 0.0000 0.0000 0.0000  6 Y 2.63
Br1 0.5000 0.5000 0.5000  12 Y 3.73

Summary:
**Magnetic moment**: 0.0 Bohr magnetons per cell
**Total DFT energy (no corrections)**: -29.750 eV per cell
**DOS(E_F)**: 8.226 states/eV per cell
**Calculated volume**: 29.2 Å³/atom
**ΔE_f (raw)**: 97 meV/atom

=====

[10]
The following is a DFT calculation (PBE) of a relaxed Mn3ZnBr9 crystal.

Cell: 11.1374 11.1374 14.4412 Å, 126.58 126.58 42.13°
With the nearest neighbours (Å) after each atom.
Fractional coordinates of all 26 atoms:
Mn1 0.0885 0.9115 0.5000  4 Br 2.34-2.57
Mn2 0.3290 0.5129 0.0606  4 Br 2.49-2.56
Mn3 0.5129 0.3290 0.5606  4 Br 2.49-2.56
Mn4 0.6647 0.9104 0.6194  4 Br 2.51-2.55
Mn5 0.9104 0.6647 0.1194  4 Br 2.51-2.55
Mn6 0.9115 0.0885 0.0000  4 Br 2.34-2.57
Zn1 0.5416 0.7578 0.7772  4 Br 2.43-2.47
Zn2 0.7578 0.5416 0.2772  4 Br 2.43-2.47
Br1 0.0094 0.8726 0.2862  2 Mn 2.50-2.52
Br2 0.0340 0.7492 0.9500  2 Mn 2.49-2.63
Br3 0.0573 0.1762 0.5543  1 Mn 2.34
Br4 0.1762 0.0573 0.0543  1 Mn 2.34
Br5 0.1997 0.9306 0.7132  1 Zn 2.47, 1 Mn 2.47
Br6 0.2045 0.3873 0.0561  2 Mn 2.51-2.56
Br7 0.2609 0.5576 0.4357  2 Mn 2.54-2.57
Br8 0.3873 0.2045 0.5561  2 Mn 2.51-2.56
Br9 0.4440 0.6851 0.2597  1 Zn 2.44, 1 Mn 2.50
Br10 0.5576 0.2609 0.9357  2 Mn 2.54-2.57
Br11 0.6159 0.7352 0.6354  1 Zn 2.46, 1 Mn 2.53
Br12 0.6330 0.8931 0.9932  1 Zn 2.43, 1 Mn 2.55
Br13 0.6851 0.4440 0.7597  1 Zn 2.44, 1 Mn 2.50
Br14 0.7352 0.6159 0.1354  1 Zn 2.46, 1 Mn 2.53
Br15 0.7492 0.0340 0.4500  2 Mn 2.49-2.63
Br16 0.8726 0.0094 0.7862  2 Mn 2.50-2.52
Br17 0.8931 0.6330 0.4932  1 Zn 2.43, 1 Mn 2.55
Br18 0.9306 0.1997 0.2132  1 Zn 2.47, 1 Mn 2.47

Summary:
**Magnetic moment**: 28.0 Bohr magnetons per cell
**Total DFT energy (no corrections)**: -105.877 eV per cell
**Calculated volume**: 35.6 Å³/atom
**ΔE_f (raw)**: -700 meV/atom

=====

[11]
The following is a DFT calculation (PBE) of a relaxed MnZn2Br8 crystal.

Cell: 8.1840 8.1840 6.3674 Å, 93.25 93.25 59.98°
With the nearest neighbours (Å) after each atom.
Fractional coordinates of all 11 atoms:
Mn1 0.0000 0.0000 0.0000  6 Br 2.48-2.51
Zn1 0.1629 0.1629 0.4340  4 Br 2.34-2.50
Zn2 0.8371 0.8371 0.5660  4 Br 2.34-2.50
Br1 0.1478 0.7172 0.7594  1 Mn 2.48, 1 Zn 2.50
Br2 0.1524 0.1524 0.8198  1 Zn 2.47, 1 Mn 2.51
Br3 0.2828 0.8522 0.2406  1 Mn 2.48, 1 Zn 2.50
Br4 0.3258 0.3258 0.3950  1 Zn 2.34
Br5 0.6742 0.6742 0.6050  1 Zn 2.34
Br6 0.7172 0.1478 0.7594  1 Mn 2.48, 1 Zn 2.50
Br7 0.8476 0.8476 0.1802  1 Zn 2.47, 1 Mn 2.51
Br8 0.8522 0.2828 0.2406  1 Mn 2.48, 1 Zn 2.50

Summary:
**Magnetic moment**: 2.9 Bohr magnetons per cell
**Total DFT energy (no corrections)**: -32.384 eV per cell
**Calculated volume**: 33.5 Å³/atom
**ΔE_f (raw)**: -662 meV/atom

=====

[12]
The following is a DFT calculation (PBE) of a relaxed Mn2ZnBr6 crystal.

Cell: 10.3421 10.3421 6.8466 Å, 107.99 107.99 90.35°
With the nearest neighbours (Å) after each atom.
Fractional coordinates of all 18 atoms:
Mn1 0.1501 0.3118 0.3958  4 Br 2.51-2.54
Mn2 0.3118 0.1501 0.8958  4 Br 2.51-2.54
Mn3 0.6882 0.8499 0.1042  4 Br 2.51-2.54
Mn4 0.8499 0.6882 0.6042  4 Br 2.51-2.54
Zn1 0.2767 0.7233 0.7500  4 Br 2.44-2.45
Zn2 0.7233 0.2767 0.2500  4 Br 2.44-2.45
Br1 0.0832 0.7081 0.8777  1 Zn 2.44, 1 Mn 2.52
Br2 0.1268 0.2831 0.7351  2 Mn 2.51-2.54
Br3 0.2777 0.5302 0.4336  1 Zn 2.45, 1 Mn 2.51
Br4 0.2831 0.1268 0.2351  2 Mn 2.51-2.54
Br5 0.2919 0.9168 0.6223  1 Zn 2.44, 1 Mn 2.52
Br6 0.4698 0.7223 0.0664  1 Zn 2.45, 1 Mn 2.51
Br7 0.5302 0.2777 0.9336  1 Zn 2.45, 1 Mn 2.51
Br8 0.7081 0.0832 0.3777  1 Zn 2.44, 1 Mn 2.52
Br9 0.7169 0.8732 0.7649  2 Mn 2.51-2.54
Br10 0.7223 0.4698 0.5664  1 Zn 2.45, 1 Mn 2.51
Br11 0.8732 0.7169 0.2649  2 Mn 2.51-2.54
Br12 0.9168 0.2919 0.1223  1 Zn 2.44, 1 Mn 2.52

Summary:
**Magnetic moment**: 20.0 Bohr magnetons per cell
**Total DFT energy (no corrections)**: -73.561 eV per cell
**DOS(E_F)**: 0.000 states/eV per cell
**Calculated volume**: 36.6 Å³/atom
**ΔE_f (raw)**: -792 meV/atom

=====

Please write out number 8 again, unchanged.
The following is a DFT calculation (PBE) of a relaxed YMnBr2 crystal.

Cell: 10.6041 10.6041 10.6041 Å, 19.67 19.67 19.67°
With the nearest neighbours (Å) after each atom.
Fractional coordinates of all 4 atoms:
Y1 0.0000 0.0000 0.0000  6 Br 2.89
Mn1 0.5000 0.5000 0.5000  6 Mn 3.62, 6 Br 3.83
Br1 0.2694 0.2694 0.2694  3 Y 2.89
Br2 0.7306 0.7306 0.7306  3 Y 2.89

Summary:
**Magnetic moment**: 4.5 Bohr magnetons per cell
**Total DFT energy (no corrections)**: -20.902 eV per cell
**DOS(E_F)**: 2.366 states/eV per cell
**Calculated volume**: 29.5 Å³/atom
**ΔE_f (raw)**: -481 meV/atom